Compound: DyEr2Al3AgGe2
Source: the Open Quantum Materials Database
Functional: PBE
Structure: optimized geometry

CIF file:
```
data_DyEr2Al3AgGe2
_chemical_formula_sum 'Dy2 Er4 Al6 Ag2 Ge4'
_symmetry_space_group_name_H-M 'A m m 2'
_symmetry_Int_Tables_number 38
_symmetry_space_group_name_Hall 'A 2 -2'
_cell_length_a 4.254
_cell_length_b 12.172
_cell_length_c 7.016
_cell_angle_alpha 90.00
_cell_angle_beta 90.00
_cell_angle_gamma 90.00
loop_
_atom_site_label
_atom_site_type_symbol
_atom_site_fract_x
_atom_site_fract_y
_atom_site_fract_z
Dy1 Dy 0.000 0.000 0.000
Er1 Er 0.000 0.207 0.380
Al1 Al 0.500 0.000 0.346
Al2 Al 0.500 0.120 0.707
Ag1 Ag 0.000 0.000 0.584
Ge1 Ge 0.500 0.168 0.087
```

Compound: Dy2ErAl3AgIr2
Source: the Open Quantum Materials Database
Functional: PBE
Structure: optimized geometry

CIF file:
```
data_Dy2ErAl3AgIr2
_chemical_formula_sum 'Dy4 Er2 Al6 Ag2 Ir4'
_symmetry_space_group_name_H-M 'A m m 2'
_symmetry_Int_Tables_number 38
_symmetry_space_group_name_Hall 'A 2 -2'
_cell_length_a 4.062
_cell_length_b 12.267
_cell_length_c 7.121
_cell_angle_alpha 90.00
_cell_angle_beta 90.00
_cell_angle_gamma 90.00
loop_
_atom_site_label
_atom_site_type_symbol
_atom_site_fract_x
_atom_site_fract_y
_atom_site_fract_z
Dy1 Dy 0.000 0.209 0.000
Er1 Er 0.000 0.000 0.628
Al1 Al 0.500 0.000 0.952
Al2 Al 0.500 0.129 0.338
Ag1 Ag 0.000 0.000 0.212
Ir1 Ir 0.500 0.165 0.709
```

Compound: Dy2ErAl3NiAg2
Source: the Open Quantum Materials Database
Functional: PBE
Structure: optimized geometry

CIF file:
```
data_Dy2ErAl3NiAg2
_chemical_formula_sum 'Dy4 Er2 Al6 Ni2 Ag4'
_symmetry_space_group_name_H-M 'A m m 2'
_symmetry_Int_Tables_number 38
_symmetry_space_group_name_Hall 'A 2 -2'
_cell_length_a 4.117
_cell_length_b 12.365
_cell_length_c 7.148
_cell_angle_alpha 90.00
_cell_angle_beta 90.00
_cell_angle_gamma 90.00
loop_
_atom_site_label
_atom_site_type_symbol
_atom_site_fract_x
_atom_site_fract_y
_atom_site_fract_z
Dy1 Dy 0.000 0.200 0.000
Er1 Er 0.000 0.000 0.597
Al1 Al 0.500 0.000 0.977
Al2 Al 0.500 0.112 0.312
Ni1 Ni 0.000 0.000 0.202
Ag1 Ag 0.500 0.165 0.699
```

Compound: Dy2ErAl3AgPd2
Source: the Open Quantum Materials Database
Functional: PBE
Structure: optimized geometry

CIF file:
```
data_Dy2ErAl3AgPd2
_chemical_formula_sum 'Dy4 Er2 Al6 Ag2 Pd4'
_symmetry_space_group_name_H-M 'A m m 2'
_symmetry_Int_Tables_number 38
_symmetry_space_group_name_Hall 'A 2 -2'
_cell_length_a 3.882
_cell_length_b 12.747
_cell_length_c 7.372
_cell_angle_alpha 90.00
_cell_angle_beta 90.00
_cell_angle_gamma 90.00
loop_
_atom_site_label
_atom_site_type_symbol
_atom_site_fract_x
_atom_site_fract_y
_atom_site_fract_z
Dy1 Dy 0.000 0.207 0.000
Er1 Er 0.000 0.000 0.623
Al1 Al 0.500 0.000 0.952
Al2 Al 0.500 0.127 0.336
Ag1 Ag 0.000 0.000 0.209
Pd1 Pd 0.500 0.165 0.707
```

Compound: Gd2DyAl3AgPt2
Source: the Open Quantum Materials Database
Functional: PBE
Structure: optimized geometry

CIF file:
```
data_Gd2DyAl3AgPt2
_chemical_formula_sum 'Gd4 Dy2 Al6 Ag2 Pt4'
_symmetry_space_group_name_H-M 'A m m 2'
_symmetry_Int_Tables_number 38
_symmetry_space_group_name_Hall 'A 2 -2'
_cell_length_a 3.939
_cell_length_b 12.752
_cell_length_c 7.372
_cell_angle_alpha 90.00
_cell_angle_beta 90.00
_cell_angle_gamma 90.00
loop_
_atom_site_label
_atom_site_type_symbol
_atom_site_fract_x
_atom_site_fract_y
_atom_site_fract_z
Gd1 Gd 0.000 0.208 0.000
Dy1 Dy 0.000 0.000 0.376
Al1 Al 0.500 0.000 0.049
Al2 Al 0.500 0.128 0.663
Ag1 Ag 0.000 0.000 0.790
Pt1 Pt 0.500 0.165 0.292
```

Compound: Dy2HoAl3AgGe2
Source: the Open Quantum Materials Database
Functional: PBE
Structure: optimized geometry

CIF file:
```
data_Dy2HoAl3AgGe2
_chemical_formula_sum 'Dy4 Ho2 Al6 Ag2 Ge4'
_symmetry_space_group_name_H-M 'A m m 2'
_symmetry_Int_Tables_number 38
_symmetry_space_group_name_Hall 'A 2 -2'
_cell_length_a 4.273
_cell_length_b 12.166
_cell_length_c 7.027
_cell_angle_alpha 90.00
_cell_angle_beta 90.00
_cell_angle_gamma 90.00
loop_
_atom_site_label
_atom_site_type_symbol
_atom_site_fract_x
_atom_site_fract_y
_atom_site_fract_z
Dy1 Dy 0.000 0.208 0.000
Ho1 Ho 0.000 0.000 0.623
Al1 Al 0.500 0.000 0.965
Al2 Al 0.500 0.121 0.329
Ag1 Ag 0.000 0.000 0.209
Ge1 Ge 0.500 0.166 0.707
```

Compound: Tb2DyAl3AgGe2
Source: the Open Quantum Materials Database
Functional: PBE
Structure: optimized geometry

CIF file:
```
data_Tb2DyAl3AgGe2
_chemical_formula_sum 'Tb4 Dy2 Al6 Ag2 Ge4'
_symmetry_space_group_name_H-M 'A m m 2'
_symmetry_Int_Tables_number 38
_symmetry_space_group_name_Hall 'A 2 -2'
_cell_length_a 4.297
_cell_length_b 12.235
_cell_length_c 7.074
_cell_angle_alpha 90.00
_cell_angle_beta 90.00
_cell_angle_gamma 90.00
loop_
_atom_site_label
_atom_site_type_symbol
_atom_site_fract_x
_atom_site_fract_y
_atom_site_fract_z
Tb1 Tb 0.000 0.207 0.000
Dy1 Dy 0.000 0.000 0.622
Al1 Al 0.500 0.000 0.968
Al2 Al 0.500 0.120 0.327
Ag1 Ag 0.000 0.000 0.209
Ge1 Ge 0.500 0.166 0.707
```

Compound: DyTm2Al3AgGe2
Source: the Open Quantum Materials Database
Functional: PBE
Structure: optimized geometry

CIF file:
```
data_DyTm2Al3AgGe2
_chemical_formula_sum 'Dy2 Tm4 Al6 Ag2 Ge4'
_symmetry_space_group_name_H-M 'A m m 2'
_symmetry_Int_Tables_number 38
_symmetry_space_group_name_Hall 'A 2 -2'
_cell_length_a 4.257
_cell_length_b 12.161
_cell_length_c 6.992
_cell_angle_alpha 90.00
_cell_angle_beta 90.00
_cell_angle_gamma 90.00
loop_
_atom_site_label
_atom_site_type_symbol
_atom_site_fract_x
_atom_site_fract_y
_atom_site_fract_z
Dy1 Dy 0.000 0.000 0.000
Tm1 Tm 0.000 0.208 0.379
Al1 Al 0.500 0.000 0.345
Al2 Al 0.500 0.120 0.705
Ag1 Ag 0.000 0.000 0.581
Ge1 Ge 0.500 0.168 0.086
```

Compound: DyY2Al3AgGe2
Source: the Open Quantum Materials Database
Functional: PBE
Structure: optimized geometry

CIF file:
```
data_DyY2Al3AgGe2
_chemical_formula_sum 'Dy2 Y4 Al6 Ag2 Ge4'
_symmetry_space_group_name_H-M 'A m m 2'
_symmetry_Int_Tables_number 38
_symmetry_space_group_name_Hall 'A 2 -2'
_cell_length_a 4.284
_cell_length_b 12.245
_cell_length_c 7.072
_cell_angle_alpha 90.00
_cell_angle_beta 90.00
_cell_angle_gamma 90.00
loop_
_atom_site_label
_atom_site_type_symbol
_atom_site_fract_x
_atom_site_fract_y
_atom_site_fract_z
Dy1 Dy 0.000 0.000 0.000
Y1 Y 0.000 0.207 0.379
Al1 Al 0.500 0.000 0.346
Al2 Al 0.500 0.120 0.707
Ag1 Ag 0.000 0.000 0.587
Ge1 Ge 0.500 0.166 0.086
```

Compound: Dy2HoAl7Ag2
Source: the Open Quantum Materials Database
Functional: PBE
Structure: optimized geometry

CIF file:
```
data_Dy2HoAl7Ag2
_chemical_formula_sum 'Dy6 Ho3 Al21 Ag6'
_symmetry_space_group_name_H-M 'R -3 m'
_symmetry_Int_Tables_number 166
_symmetry_space_group_name_Hall '-R 3 2"'
_cell_length_a 5.5422
_cell_length_b 5.5422
_cell_length_c 26.3087
_cell_angle_alpha 90.00
_cell_angle_beta 90.00
_cell_angle_gamma 120.00
loop_
_atom_site_label
_atom_site_type_symbol
_atom_site_fract_x
_atom_site_fract_y
_atom_site_fract_z
Dy1 Dy 0.0000 0.0000 0.1424
Ho1 Ho 0.0000 0.0000 0.0000
Al1 Al 0.0000 0.0000 0.5000
Al2 Al 0.0081 0.5041 0.9160
Ag1 Ag 0.0000 0.0000 0.3358
```

Compound: DyHo2Al7Ag2
Source: the Open Quantum Materials Database
Functional: PBE
Structure: optimized geometry

CIF file:
```
data_DyHo2Al7Ag2
_chemical_formula_sum 'Dy3 Ho6 Al21 Ag6'
_symmetry_space_group_name_H-M 'R -3 m'
_symmetry_Int_Tables_number 166
_symmetry_space_group_name_Hall '-R 3 2"'
_cell_length_a 5.5371
_cell_length_b 5.5371
_cell_length_c 26.2875
_cell_angle_alpha 90.00
_cell_angle_beta 90.00
_cell_angle_gamma 120.00
loop_
_atom_site_label
_atom_site_type_symbol
_atom_site_fract_x
_atom_site_fract_y
_atom_site_fract_z
Dy1 Dy 0.0000 0.0000 0.0000
Ho1 Ho 0.0000 0.0000 0.1424
Al1 Al 0.0000 0.0000 0.5000
Al2 Al 0.0081 0.5041 0.9159
Ag1 Ag 0.0000 0.0000 0.3358
```

Compound: DyHo2Al3NiAg2
Source: the Open Quantum Materials Database
Functional: PBE
Structure: optimized geometry

CIF file:
```
data_DyHo2Al3NiAg2
_chemical_formula_sum 'Dy2 Ho4 Al6 Ni2 Ag4'
_symmetry_space_group_name_H-M 'A m m 2'
_symmetry_Int_Tables_number 38
_symmetry_space_group_name_Hall 'A 2 -2'
_cell_length_a 4.118
_cell_length_b 12.392
_cell_length_c 7.153
_cell_angle_alpha 90.00
_cell_angle_beta 90.00
_cell_angle_gamma 90.00
loop_
_atom_site_label
_atom_site_type_symbol
_atom_site_fract_x
_atom_site_fract_y
_atom_site_fract_z
Dy1 Dy 0.000 0.000 0.000
Ho1 Ho 0.000 0.199 0.597
Al1 Al 0.500 0.000 0.622
Al2 Al 0.500 0.112 0.287
Ni1 Ni 0.000 0.000 0.399
Ag1 Ag 0.500 0.167 0.898
```

Number 1: size of the total moment 0.0 μB/cell, DFT total energy -4.724 eV/atom. Number 2: size of the total moment 0.0 μB/cell, DFT total energy -5.782 eV/atom. Number 3: size of the total moment 0.0 μB/cell, DFT total energy -4.520 eV/atom. Number 4: size of the total moment 0.1 μB/cell, DFT total energy -4.951 eV/atom. Number 5: size of the total moment 0.0 μB/cell, DFT total energy -5.317 eV/atom. Number 6: size of the total moment 0.0 μB/cell, DFT total energy -4.736 eV/atom. Number 7: size of the total moment 0.0 μB/cell, DFT total energy -4.750 eV/atom. Number 8: size of the total moment 0.0 μB/cell, DFT total energy -4.697 eV/atom. Number 9: size of the total moment 0.0 μB/cell, DFT total energy -5.162 eV/atom. Number 10: size of the total moment 0.0 μB/cell, DFT total energy -4.253 eV/atom. Number 11: size of the total moment 0.0 μB/cell, DFT total energy -4.254 eV/atom. Number 12: size of the total moment 0.0 μB/cell, DFT total energy -4.519 eV/atom.